Record 1
Below is a crystal of Cs2Mo3SeO12 relaxed with PBEsol, with properties calculated at the SCAN level.

Computed properties:
Calculated volume = 571 Å³/cell
Uncorrected formation energy = -2.023 eV/atom

Cell: 7.2979 7.2979 12.3860 Å, 90.00 90.00 120.00°
Last column: nearest neighbours and their distance in Å.
Space group P6_3 (No. 173)
Unique sites:
Cs  0.3333  0.6667  0.0000 [2 per cell]  3 O 3.08
Cs  0.3333  0.6667  0.3701 [2 per cell]  6 O 3.02-3.07
Mo  0.1372  0.3389  0.7050 [6 per cell]  3 O 1.71-1.81
Se  0.0000  0.0000  0.4305 [2 per cell]  3 O 1.73
O  0.0891  0.5482  0.7476 [6 per cell]  1 Mo 1.81
O  0.1183  0.8698  0.8718 [6 per cell]  1 Se 1.73
O  0.1217  0.2497  0.1947 [6 per cell]  1 Mo 1.79
O  0.1993  0.8004  0.5715 [6 per cell]  1 Mo 1.71



Record 2
Below is a crystal of CsMoP2 relaxed with PBEsol, with properties calculated at the SCAN level.

Computed properties:
Total DFT energy (no corrections) = -23.71 eV/atom
Calculated volume = 544 Å³/cell

Cell: 7.2390 7.2390 10.3810 Å, 90.00 90.00 90.00°
Last column: nearest neighbours and their distance in Å.
Space group I4_1/amd (No. 141, origin choice 2)
Unique sites:
Cs  0.0000  0.2500  0.3750 [4 per cell]  12 P 4.25-4.29, 4 Mo 4.45, 4 Cs 4.45
Mo  0.0000  0.2500  0.8750 [4 per cell]  4 P 2.23
P  0.0000  0.0000  0.0000 [8 per cell]  2 Mo 2.23



Record 3
Below is a crystal of CsMoPb2 relaxed with PBEsol, with properties calculated at the SCAN level.

Computed properties:
Total DFT energy (no corrections) = -55.19 eV/atom
Calculated volume = 456 Å³/cell

Cell: 7.6973 7.6973 7.6973 Å, 90.00 90.00 90.00°
Last column: nearest neighbours and their distance in Å.
Space group Fm-3m (No. 225)
Unique sites:
Cs  0.0000  0.0000  0.0000 [4 per cell]  8 Pb 3.33
Mo  0.0000  0.0000  0.5000 [4 per cell]  8 Pb 3.33
Pb  0.2500  0.2500  0.2500 [8 per cell]  4 Mo 3.33, 4 Cs 3.33



Record 4
Below is a crystal of Cs2MoPt relaxed with PBEsol, with properties calculated at the SCAN level.

Computed properties:
Total DFT energy (no corrections) = -43.93 eV/atom
Calculated volume = 533 Å³/cell

Cell: 8.1091 8.1091 8.1091 Å, 90.00 90.00 90.00°
Last column: nearest neighbours and their distance in Å.
Space group Fm-3m (No. 225)
Unique sites:
Cs  0.2500  0.2500  0.2500 [8 per cell]  4 Mo 3.51, 4 Pt 3.51
Mo  0.0000  0.0000  0.0000 [4 per cell]  8 Cs 3.51
Pt  0.0000  0.0000  0.5000 [4 per cell]  8 Cs 3.51



no.,total magnetic moment (μB per atom)
1,0.00
2,0.00
3,0.91
4,1.50